Entry 1:
The following is a GGA-PBE calculation of an optimized crystal structure of Dy3Er2TmS6, from Alexandria.

a = 3.8708 Å, b = 7.7918 Å, c = 8.6710 Å
α = 103.24°, β = 102.90°, γ = 90.00°
Element x y z (fractional)
Dy  0.5000  0.5000  0.0000
Dy  0.8330  0.1669  0.6660
Dy  0.1670  0.8331  0.3340
Er  0.8332  0.6663  0.6664
Er  0.1668  0.3337  0.3336
Tm  0.5000  0.0000  0.0000
S  0.3349  0.9148  0.6698
S  0.6675  0.5810  0.3349
S  0.6651  0.0852  0.3302
S  0.0007  0.2461  0.0015
S  0.9993  0.7539  0.9985
S  0.3325  0.4190  0.6651

Formation energy without anion corrections   -1.971 eV/atom
N(E_F)   0.432 states/eV/atom
Calculated volume   247.8 Å³/f.u.



Entry 2:
The following is a GGA-PBE calculation of an optimized crystal structure of Li2CrPbN, from Alexandria.

a = 4.3995 Å, b = 4.3995 Å, c = 3.7333 Å
α = 90.00°, β = 90.00°, γ = 90.00°
Element x y z (fractional)
Pb  0.5000  0.5000  0.5000
Cr  0.0000  0.0000  0.5000
Li  0.0000  0.5000  0.0000
Li  0.5000  0.0000  0.0000
N  0.0000  0.0000  0.0000

Formation energy without anion corrections   -0.289 eV/atom
N(E_F)   0.305 states/eV/atom
Calculated volume   72.3 Å³/f.u.



Entry 3:
The following is a GGA-PBE calculation of an optimized crystal structure of Pm2Cd5Ag, from Alexandria.

a = 4.9569 Å, b = 4.9569 Å, c = 8.5847 Å
α = 106.78°, β = 106.78°, γ = 90.00°
Element x y z (fractional)
Pm  0.7491  0.7491  0.4981
Pm  0.2509  0.2509  0.5019
Cd  0.5000  0.5000  0.0000
Cd  0.8900  0.3900  0.7800
Cd  0.3900  0.8900  0.7800
Cd  0.1100  0.6100  0.2200
Cd  0.6100  0.1100  0.2200
Ag  0.0000  0.0000  0.0000

Formation enthalpy at 0 K   -0.1853 eV per atom
N(E_F)   0.833 states/eV/atom
Calculated volume   192.6 Å³/f.u.
E above lowest polymorph   0 meV/atom



Entry 4:
The following is a GGA-PBE calculation of an optimized crystal structure of Ca2Y2Ta, from Alexandria.

a = 8.8059 Å, b = 8.8059 Å, c = 3.7167 Å
α = 90.00°, β = 90.00°, γ = 90.00°
Element x y z (fractional)
Y  0.1711  0.6711  0.5000
Y  0.6711  0.8289  0.5000
Y  0.8289  0.3289  0.5000
Y  0.3289  0.1711  0.5000
Ca  0.3649  0.8649  0.0000
Ca  0.8649  0.6351  0.0000
Ca  0.6351  0.1351  0.0000
Ca  0.1351  0.3649  0.0000
Ta  0.0000  0.0000  0.0000
Ta  0.5000  0.5000  0.0000

Formation enthalpy at 0 K   0.8722 eV per atom
N(E_F)   0.750 states/eV/atom
Calculated volume   144.1 Å³/f.u.
E above lowest polymorph   0 meV/atom